Entry 1:
# Sc12Tl3Os

A relaxed Sc12Tl3Os crystal (GGA-PBE, Alexandria).

Cell: 4.516 4.516 17.552 Å, 90.00 90.00 90.00°
Fractional positions:
Sc 0.000 0.000 0.000
Sc 0.000 0.000 0.241
Sc 0.000 0.000 0.500
Sc 0.000 0.000 0.759
Sc 0.000 0.500 0.105
Sc 0.000 0.500 0.370
Sc 0.000 0.500 0.630
Sc 0.000 0.500 0.895
Sc 0.500 0.000 0.105
Sc 0.500 0.000 0.370
Sc 0.500 0.000 0.630
Sc 0.500 0.000 0.895
Tl 0.500 0.500 0.242
Tl 0.500 0.500 0.500
Tl 0.500 0.500 0.758
Os 0.500 0.500 0.000

Computed properties:
- ΔE_f: -0.194 eV per atom
- Space group: P4/mmm
- Crystal system: tetragonal

Entry 2:
# HgOsO3

A relaxed HgOsO3 crystal (GGA-PBE, Alexandria).

Cell: 3.924 3.924 3.924 Å, 90.00 90.00 90.00°
Fractional positions:
Hg 0.000 0.000 0.000
Os 0.500 0.500 0.500
O 0.000 0.500 0.500
O 0.500 0.000 0.500
O 0.500 0.500 0.000

Computed properties:
- Space group: Pm-3m
- Crystal system: cubic
- Uncorrected formation energy: -0.43 eV/atom

Entry 3:
# SmHoSeN

A relaxed SmHoSeN crystal (GGA-PBE, Alexandria).

Cell: 3.704 3.704 19.802 Å, 90.00 90.00 120.00°
Fractional positions:
Sm 0.000 0.000 0.000
Sm 0.333 0.667 0.667
Sm 0.667 0.333 0.333
Ho 0.000 0.000 0.466
Ho 0.333 0.667 0.133
Ho 0.667 0.333 0.800
Se 0.000 0.000 0.231
Se 0.333 0.667 0.897
Se 0.667 0.333 0.564
N 0.000 0.000 0.738
N 0.333 0.667 0.405
N 0.667 0.333 0.072

Computed properties:
- Space group: R3m
- Crystal system: trigonal
- Uncorrected formation energy: -1.68 eV/atom

What did the second record say?
# HgOsO3

A relaxed HgOsO3 crystal (GGA-PBE, Alexandria).

Cell: 3.924 3.924 3.924 Å, 90.00 90.00 90.00°
Fractional positions:
Hg 0.000 0.000 0.000
Os 0.500 0.500 0.500
O 0.000 0.500 0.500
O 0.500 0.000 0.500
O 0.500 0.500 0.000

Computed properties:
- Space group: Pm-3m
- Crystal system: cubic
- Uncorrected formation energy: -0.43 eV/atom

What is the formula in the second record?
HgOsO3